Compound: Pr3Al4Pd4
Source: the Alexandria database
Functional: PBE
Structure: relaxed

Summary:
- Distance to the lowest polymorph of the same formula: 0.0051 eV per atom
- Formation energy from the elements: -715 meV/atom

abc: 4.368 7.269 8.346
angles: 115.82 105.17 90.00
Sites, in units of the cell vectors:
Pd 0.326 0.129 0.651
Pd 0.674 0.478 0.349
Pd 0.326 0.522 0.651
Pd 0.674 0.871 0.349
Al 0.218 0.718 0.436
Al 0.782 0.282 0.564
Al 0.500 0.188 0.000
Al 0.500 0.812 0.000
Pr 0.128 0.128 0.255
Pr 0.000 0.500 0.000
Pr 0.872 0.872 0.745

Compound: LiTl2GeSe4
Source: the Alexandria database
Functional: PBE
Structure: relaxed

Summary:
- E_form (uncorrected): -0.46 eV per atom

abc: 7.308 7.308 6.727
angles: 122.90 122.91 90.00
Sites, in units of the cell vectors:
Se 0.057 0.099 0.768
Se 0.711 0.669 0.768
Se 0.373 0.761 0.176
Se 0.803 0.415 0.176
Li 0.986 0.486 0.971
Tl 0.486 0.986 0.972
Tl 0.236 0.236 0.472
Ge 0.736 0.736 0.472

Compound: Zn8Pt3
Source: the Alexandria database
Functional: PBE
Structure: relaxed

Summary:
- Distance to the lowest polymorph of the same formula: 0.1572 eV per atom
- Formation energy from the elements: -254 meV/atom

abc: 5.848 5.848 5.848
angles: 89.78 89.78 89.78
Sites, in units of the cell vectors:
Pt 0.000 0.500 0.500
Pt 0.500 0.500 0.000
Pt 0.500 0.000 0.500
Zn 0.239 0.239 0.239
Zn 0.760 0.760 0.238
Zn 0.761 0.761 0.761
Zn 0.238 0.760 0.760
Zn 0.760 0.238 0.760
Zn 0.240 0.240 0.762
Zn 0.240 0.762 0.240
Zn 0.762 0.240 0.240

Compound: ReRuAu2
Source: the Alexandria database
Functional: PBE
Structure: relaxed

Summary:
- Distance to the lowest polymorph of the same formula: 0.0240 eV per atom
- Formation energy from the elements: 184 meV/atom

abc: 9.629 9.629 9.629
angles: 16.80 16.80 16.80
Sites, in units of the cell vectors:
Au 0.247 0.247 0.247
Au 0.003 0.003 0.003
Re 0.494 0.494 0.494
Ru 0.756 0.756 0.756

Compound: Ce2SnPtRh5
Source: the Alexandria database
Functional: PBE
Structure: relaxed

Summary:
- Formation energy from the elements: -272 meV/atom

abc: 8.189 8.189 7.840
angles: 121.48 121.48 90.00
Sites, in units of the cell vectors:
Ce 0.860 0.640 0.000
Ce 0.360 0.860 0.000
Ce 0.140 0.360 0.000
Ce 0.640 0.140 0.000
Pt 0.250 0.750 0.500
Pt 0.750 0.250 0.500
Sn 0.250 0.250 0.500
Sn 0.750 0.750 0.500
Rh 0.937 0.437 0.272
Rh 0.000 0.000 0.000
Rh 0.437 0.335 0.272
Rh 0.835 0.937 0.272
Rh 0.500 0.500 0.000
Rh 0.063 0.563 0.728
Rh 0.165 0.063 0.728
Rh 0.335 0.835 0.272
Rh 0.563 0.665 0.728
Rh 0.665 0.165 0.728

Compound: Sr2BPPd6
Source: the Alexandria database
Functional: PBE
Structure: relaxed

Summary:
- Formation energy from the elements: -634 meV/atom

abc: 6.020 6.823 6.022
angles: 63.66 60.00 90.00
Sites, in units of the cell vectors:
Pd 0.740 0.687 0.049
Pd 0.739 0.686 0.523
Pd 0.260 0.313 0.951
Pd 0.211 0.688 0.049
Pd 0.789 0.312 0.951
Pd 0.261 0.314 0.477
Sr 0.277 0.828 0.446
Sr 0.723 0.172 0.554
P 0.000 0.000 0.000
B 0.500 0.500 0.000

Compound: Rb5IrS4
Source: the Alexandria database
Functional: PBE
Structure: relaxed

Summary:
- E_form (uncorrected): -0.51 eV per atom

abc: 4.139 8.272 9.842
angles: 101.79 102.14 90.00
Sites, in units of the cell vectors:
S 0.007 0.823 0.013
S 0.632 0.075 0.264
S 0.368 0.925 0.736
S 0.993 0.177 0.987
Rb 0.848 0.656 0.697
Rb 0.152 0.344 0.303
Rb 0.500 0.500 0.000
Rb 0.175 0.842 0.349
Rb 0.825 0.158 0.651
Ir 0.500 0.000 0.000

Compound: DyH5Ru
Source: the Alexandria database
Functional: PBE
Structure: relaxed

Summary:
- Energy: -33.2 eV per formula unit

abc: 4.527 4.527 7.143
angles: 66.77 66.77 65.28
Sites, in units of the cell vectors:
H 0.574 0.091 0.084
H 0.426 0.909 0.916
H 0.909 0.426 0.416
H 0.907 0.426 0.917
H 0.091 0.574 0.584
H 0.093 0.574 0.083
H 0.000 0.000 0.250
H 0.000 0.000 0.750
H 0.426 0.907 0.417
H 0.574 0.093 0.583
Dy 0.500 0.500 0.750
Dy 0.500 0.500 0.250
Ru 0.000 0.000 0.500
Ru 0.000 0.000 0.000

Compound: CeHoPaCd
Source: the Alexandria database
Functional: PBE
Structure: relaxed

Summary:
- Formation energy from the elements: 227 meV/atom

abc: 5.309 5.309 5.309
angles: 60.00 60.00 60.00
Sites, in units of the cell vectors:
Pa 0.500 0.500 0.500
Cd 0.000 0.000 0.000
Ho 0.250 0.250 0.250
Ce 0.750 0.750 0.750

Compound: Sc3AlIn
Source: the Alexandria database
Functional: PBE
Structure: relaxed

Summary:
- Distance to the lowest polymorph of the same formula: 0.5069 eV per atom
- Formation energy from the elements: 157 meV/atom

abc: 5.116 5.116 5.116
angles: 90.00 90.00 90.00
Sites, in units of the cell vectors:
Sc 0.000 0.000 0.500
Sc 0.000 0.500 0.000
Sc 0.500 0.000 0.000
In 0.500 0.500 0.500
Al 0.000 0.000 0.000

Compound: CaO
Source: the Alexandria database
Functional: PBE
Structure: relaxed

Summary:
- E_form (uncorrected): -2.75 eV per atom

abc: 8.166 8.166 8.166
angles: 156.47 156.47 33.52
Sites, in units of the cell vectors:
Ca 0.673 0.673 0.000
Ca 0.327 0.327 0.000
O 0.176 0.176 0.000
O 0.824 0.824 0.000

Compound: Sc12Pd3O5
Source: the Alexandria database
Functional: PBE
Structure: relaxed

Summary:
- E_form (uncorrected): -1.65 eV per atom

abc: 12.282 12.282 12.282
angles: 109.47 109.47 109.47
Sites, in units of the cell vectors:
Sc 0.612 0.016 0.202
Sc 0.484 0.798 0.888
Sc 0.298 0.411 0.815
Sc 0.411 0.298 0.315
Sc 0.612 0.596 0.911
Sc 0.315 0.516 0.404
Sc 0.388 0.984 0.798
Sc 0.596 0.612 0.411
Sc 0.096 0.185 0.484
Sc 0.589 0.888 0.404
Sc 0.798 0.315 0.911
Sc 0.016 0.612 0.702
Sc 0.404 0.388 0.589
Sc 0.388 0.404 0.089
Sc 0.112 0.411 0.096
Sc 0.089 0.185 0.202
Sc 0.089 0.904 0.388
Sc 0.685 0.202 0.589
Sc 0.404 0.016 0.315
Sc 0.815 0.904 0.016
Sc 0.596 0.984 0.685
Sc 0.888 0.589 0.904
Sc 0.888 0.298 0.484
Sc 0.815 0.911 0.298
Sc 0.185 0.096 0.984
Sc 0.984 0.388 0.298
Sc 0.516 0.202 0.112
Sc 0.202 0.516 0.612
Sc 0.702 0.589 0.185
Sc 0.411 0.112 0.596
Sc 0.185 0.089 0.702
Sc 0.484 0.685 0.096
Sc 0.516 0.315 0.904
Sc 0.112 0.702 0.516
Sc 0.016 0.404 0.815
Sc 0.589 0.702 0.685
Sc 0.685 0.484 0.596
Sc 0.904 0.089 0.888
Sc 0.096 0.911 0.112
Sc 0.315 0.798 0.411
Sc 0.911 0.096 0.612
Sc 0.202 0.685 0.089
Sc 0.298 0.888 0.984
Sc 0.702 0.112 0.016
Sc 0.904 0.815 0.516
Sc 0.798 0.484 0.388
Sc 0.911 0.815 0.798
Sc 0.984 0.596 0.185
O 0.750 0.625 0.375
O 0.125 0.750 0.375
O 0.000 0.500 0.500
O 0.500 0.500 0.000
O 0.000 0.500 0.000
O 0.125 0.375 0.250
O 0.625 0.875 0.250
O 0.375 0.125 0.750
O 0.500 0.000 0.500
O 0.875 0.625 0.750
O 0.250 0.375 0.625
O 0.250 0.875 0.125
O 0.750 0.125 0.875
O 0.000 0.000 0.000
O 0.500 0.000 0.000
O 0.500 0.500 0.500
O 0.375 0.250 0.125
O 0.625 0.750 0.875
O 0.000 0.000 0.500
O 0.875 0.250 0.625
Pd 0.750 0.875 0.625
Pd 0.750 0.375 0.125
Pd 0.375 0.750 0.625
Pd 0.125 0.250 0.875
Pd 0.250 0.125 0.375
Pd 0.375 0.625 0.250
Pd 0.625 0.250 0.375
Pd 0.625 0.375 0.750
Pd 0.125 0.875 0.750
Pd 0.875 0.750 0.125
Pd 0.875 0.125 0.250
Pd 0.250 0.625 0.875

Compound: Mg4ScCd
Source: the Alexandria database
Functional: PBE
Structure: relaxed

Summary:
- Distance to the lowest polymorph of the same formula: 0.0038 eV per atom
- Formation energy from the elements: -56 meV/atom

abc: 3.282 3.282 12.583
angles: 90.00 90.00 90.00
Sites, in units of the cell vectors:
Mg 0.000 0.000 0.325
Mg 0.500 0.500 0.155
Mg 0.500 0.500 0.845
Mg 0.000 0.000 0.675
Cd 0.000 0.000 0.000
Sc 0.500 0.500 0.500

Compound: K2Na3OsO6
Source: the Alexandria database
Functional: PBE
Structure: relaxed

Summary:
- E_form (uncorrected): -1.39 eV per atom

abc: 6.339 6.339 5.713
angles: 100.51 100.51 121.39
Sites, in units of the cell vectors:
Na 0.143 0.857 0.500
Na 0.857 0.143 0.500
Na 0.500 0.500 0.500
O 0.072 0.317 0.222
O 0.928 0.683 0.778
O 0.683 0.928 0.778
O 0.191 0.191 0.804
O 0.809 0.809 0.196
O 0.317 0.072 0.222
K 0.329 0.671 0.000
K 0.671 0.329 0.000
Os 0.000 0.000 0.000

Compound: NaNiSb2
Source: the Alexandria database
Functional: PBE
Structure: relaxed

Summary:
- Distance to the lowest polymorph of the same formula: 0.0601 eV per atom
- E_form (uncorrected): -0.20 eV per atom

abc: 4.678 9.135 10.051
angles: 117.03 103.46 90.00
Sites, in units of the cell vectors:
Ni 0.849 0.600 0.697
Ni 0.849 0.098 0.697
Ni 0.151 0.902 0.303
Ni 0.151 0.400 0.303
Na 0.302 0.302 0.603
Na 0.500 0.733 0.000
Na 0.500 0.267 0.000
Na 0.698 0.698 0.397
Sb 0.916 0.916 0.833
Sb 0.700 0.034 0.400
Sb 0.700 0.366 0.400
Sb 0.300 0.966 0.600
Sb 0.083 0.583 0.166
Sb 0.917 0.417 0.834
Sb 0.300 0.634 0.600
Sb 0.084 0.084 0.167

Compound: SmTm5Hg6
Source: the Alexandria database
Functional: PBE
Structure: relaxed

Summary:
- Formation energy from the elements: -475 meV/atom

abc: 5.202 7.417 8.257
angles: 90.00 71.98 90.00
Sites, in units of the cell vectors:
Hg 0.170 0.256 0.661
Hg 0.500 0.257 0.000
Hg 0.170 0.744 0.661
Hg 0.830 0.744 0.339
Hg 0.500 0.743 0.000
Hg 0.830 0.256 0.339
Tm 0.000 0.500 0.000
Tm 0.335 0.500 0.329
Tm 0.665 0.500 0.671
Tm 0.669 0.000 0.663
Tm 0.331 0.000 0.337
Sm 0.000 0.000 0.000

Compound: RbPrAuSe2
Source: the Alexandria database
Functional: PBE
Structure: relaxed

Summary:
- E_form (uncorrected): -1.09 eV per atom

abc: 5.073 8.101 8.364
angles: 99.55 90.00 90.00
Sites, in units of the cell vectors:
Pr 0.508 0.000 0.750
Pr 0.492 0.000 0.250
Au 0.000 0.000 0.500
Au 0.000 0.000 0.000
Se 0.668 0.242 0.536
Se 0.332 0.242 0.036
Se 0.668 0.758 0.964
Se 0.332 0.758 0.464
Rb 0.848 0.500 0.250
Rb 0.152 0.500 0.750

Compound: Dy3AlSn3
Source: the Alexandria database
Functional: PBE
Structure: relaxed

Summary:
- Formation energy from the elements: -377 meV/atom

abc: 5.654 8.653 8.653
angles: 120.00 90.00 90.00
Sites, in units of the cell vectors:
Sn 0.750 0.735 0.939
Sn 0.250 0.796 0.735
Sn 0.250 0.939 0.204
Sn 0.750 0.061 0.796
Sn 0.250 0.265 0.061
Sn 0.750 0.204 0.265
Dy 0.750 0.450 0.093
Dy 0.250 0.550 0.907
Dy 0.750 0.907 0.357
Dy 0.250 0.357 0.450
Dy 0.750 0.643 0.550
Dy 0.250 0.093 0.643
Al 0.250 0.667 0.333
Al 0.750 0.333 0.667

Compound: BaRe2F
Source: the Alexandria database
Functional: PBE
Structure: relaxed

Summary:
- Distance to the lowest polymorph of the same formula: 1.1488 eV per atom
- E_form (uncorrected): 1.97 eV per atom

abc: 4.695 4.695 4.695
angles: 60.00 60.00 60.00
Sites, in units of the cell vectors:
Re 0.250 0.250 0.250
Re 0.750 0.750 0.750
Ba 0.500 0.500 0.500
F 0.000 0.000 0.000

Compound: KSc2MnTe
Source: the Alexandria database
Functional: PBE
Structure: relaxed

Summary:
- E_form (uncorrected): 1.41 eV per atom

abc: 4.965 5.646 4.965
angles: 90.00 90.00 90.00
Sites, in units of the cell vectors:
Sc 0.500 0.000 0.000
Sc 0.000 0.000 0.500
Mn 0.500 0.500 0.500
K 0.000 0.000 0.000
Te 0.000 0.500 0.000

Total moment: 0.00 0.00 0.00 0.36 0.00 0.00 0.00 0.00 1.29 0.00 0.00 4.23 0.21 1.04 0.00 0.00 0.00 0.00 1.33 4.11 (μB per formula unit)